{"formula": "RuWI2O", "functional": "GGA+U", "state": "relaxed", "final_energy_ev_per_cell": -21.76, "mass_density_g_cm3": 7.23, "lattice_angstrom": [[-5.536, -0.224, 1.630], [0.442, -5.714, 0.716], [1.048, 0.537, 3.634]], "species": ["I", "I", "W", "O", "Ru"], "frac_coords": [[0.000, 0.500, 0.000], [0.500, 0.000, 0.000], [0.000, 0.000, 0.000], [0.000, 0.000, 0.500], [0.500, 0.500, 0.500]]}